This record from Alexandria describes a geometry-optimized ZrCrAgS4 structure. The functional is GGA-PBE. Values from VASP.

Summary:
V ... 542 Å³/cell
Excess energy over the best structure of this formula in the dataset ... 94.4 meV/atom
ΔE_f (raw) ... -0.8199 eV/atom

Structure (Quantum ESPRESSO input):
```
&SYSTEM
  ibrav = 0, nat = 28, ntyp = 4
/
ATOMIC_SPECIES
Ag 107.87 Ag.upf
Cr 52.00 Cr.upf
Zr 91.22 Zr.upf
S 32.06 S.upf
CELL_PARAMETERS angstrom
-3.467 0.710 0.726
-2.846 -3.074 -10.591
-1.694 -12.424 4.061
ATOMIC_POSITIONS crystal
Ag 0.500 0.995 0.824
Cr 0.000 0.347 0.906
Zr 0.000 0.798 0.115
S 0.500 0.305 0.789
Ag 0.000 0.485 0.199
S 0.500 0.164 0.423
S 0.000 0.614 0.522
S 0.000 0.348 0.567
S 0.000 0.044 0.659
S 0.000 0.137 0.952
S 0.500 0.770 0.714
S 0.500 0.863 0.452
S 0.000 0.230 0.214
S 0.500 0.652 0.067
S 0.000 0.836 0.923
Ag 0.500 0.515 0.699
Cr 0.500 0.693 0.891
S 0.000 0.556 0.854
Cr 0.000 0.307 0.391
S 0.000 0.695 0.289
Zr 0.000 0.820 0.584
Ag 0.000 0.005 0.324
Cr 0.500 0.653 0.406
S 0.500 0.386 0.022
Zr 0.500 0.202 0.615
Zr 0.500 0.180 0.084
S 0.500 0.444 0.354
S 0.500 0.956 0.159
```